# In4Te2I, optimized geometry, DFT PBE
# E_tot = -2.91 eV/atom
# SG = I-42d, No. 122
data_In4Te2I
_cell_length_a 8.5205
_cell_length_b 8.5205
_cell_length_c 8.5205
_cell_angle_alpha 70.64
_cell_angle_beta 70.47
_cell_angle_gamma 109.53
_symmetry_space_group_name_H-M 'P 1'
_symmetry_Int_Tables_number 1
loop_
_symmetry_equiv_pos_as_xyz
'x,y,z'
loop_
_atom_site_label
_atom_site_type_symbol
_atom_site_fract_x
_atom_site_fract_y
_atom_site_fract_z
I1 I 0.5000 0.2500 0.2500
I2 I 0.0000 0.0000 0.0000
In1 In 0.7432 0.0100 0.4022
In2 In 0.7568 0.5167 0.3955
In3 In 0.9122 0.3955 0.8478
In4 In 0.4122 0.4022 0.8545
In5 In 0.5878 0.7333 0.0100
In6 In 0.2568 0.8545 0.7333
In7 In 0.2432 0.8478 0.2400
In8 In 0.0878 0.2400 0.5167
Te1 Te 0.1038 0.4788 0.1250
Te2 Te 0.8962 0.7712 0.6250
Te3 Te 0.3962 0.6250 0.4788
Te4 Te 0.6038 0.1250 0.7712